[1]
4
Lattice="-3.014 -2.624 0.681 0.840 -3.823 1.054 -0.762 -1.277 3.771" Properties=species:S:1:pos:R:3 comment="BeCr2Ru (GGA-PBE, optimized geometry)" space_group="No. 216" volume_a3_per_atom=11.8 total_energy_ev_per_atom=-8.094 pbc="T T T"
Cr 0.000 0.000 0.000
Cr -0.734 -1.931 1.376
Ru -2.202 -5.794 4.129
Be -1.468 -3.862 2.753

[2]
4
Lattice="-2.064 1.011 -1.045 -0.307 -0.509 2.454 2.527 6.977 1.763" Properties=species:S:1:pos:R:3 comment="Be2CrRu (GGA-PBE, optimized geometry)" space_group="No. 35" volume_a3_per_atom=11.2 total_energy_ev_per_atom=-6.363 pbc="T T T"
Be -0.576 1.932 1.129
Ru 0.738 5.562 2.046
Be 0.029 0.080 0.020
Cr 1.229 3.395 0.858

[3]
10
Lattice="-4.503 3.376 2.107 -3.351 -1.502 -4.756 -1.032 -2.281 1.448" Properties=species:S:1:pos:R:3 comment="Be2Cr2Ru (GGA-PBE, optimized geometry)" space_group="No. 127" volume_a3_per_atom=10.4 total_energy_ev_per_atom=-7.236 pbc="T T T"
Cr -3.534 -1.571 -2.107
Be -6.038 2.028 -1.110
Ru -3.927 0.937 -1.325
Ru 0.000 0.000 0.000
Cr -6.316 -0.121 -1.806
Cr -2.571 -0.286 0.604
Be -3.212 1.917 0.729
Be -1.816 -0.155 -1.539
Cr -5.352 1.164 0.905
Be -4.643 -0.044 -3.379

[4]
4
Lattice="4.647 0.002 0.006 3.745 2.751 0.006 1.810 0.594 3.637" Properties=species:S:1:pos:R:3 comment="BeCr2Ru (GGA-PBE, optimized geometry)" space_group="No. 44" volume_a3_per_atom=11.6 total_energy_ev_per_atom=-8.041 pbc="T T T"
Be 7.632 2.504 2.744
Cr 2.618 0.859 0.874
Ru 5.115 1.678 1.818
Cr 8.329 2.733 0.048

[5]
19
Lattice="5.408 0.020 0.660 0.587 5.376 0.660 0.022 0.020 5.448" Properties=species:S:1:pos:R:3 comment="Be17CrRu (GGA-PBE, optimized geometry)" space_group="No. 160" volume_a3_per_atom=8.3 total_energy_ev_per_atom=-4.462 pbc="T T T"
Be 0.311 2.669 0.350
Be 0.612 0.551 0.688
Be 1.232 3.516 4.078
Cr 2.043 1.839 2.298
Be 3.969 1.672 6.106
Be 2.250 5.392 4.657
Be 3.626 0.856 4.078
Be 5.401 4.861 6.076
Be 2.396 4.504 2.695
Be 2.079 3.772 6.106
Be 2.123 1.910 5.013
Ru 3.990 3.591 4.488
Be 3.906 3.516 1.701
Be 2.687 0.029 0.350
Be 5.820 3.772 2.780
Be 4.361 5.392 2.780
Be 0.032 0.029 2.710
Be 4.730 1.910 2.695
Be 5.599 1.672 4.657

[6]
4
Lattice="4.038 0.000 0.000 0.000 3.366 0.000 0.000 0.000 3.366" Properties=species:S:1:pos:R:3 comment="BeCr2Ru (GGA-PBE, optimized geometry)" space_group="No. 123" volume_a3_per_atom=11.4 total_energy_ev_per_atom=-7.993 pbc="T T T"
Be 2.019 0.000 1.683
Cr 0.000 1.683 1.683
Cr 0.000 0.000 0.000
Ru 2.019 1.683 0.000

Copy entry 2 word for word.
4
Lattice="-2.064 1.011 -1.045 -0.307 -0.509 2.454 2.527 6.977 1.763" Properties=species:S:1:pos:R:3 comment="Be2CrRu (GGA-PBE, optimized geometry)" space_group="No. 35" volume_a3_per_atom=11.2 total_energy_ev_per_atom=-6.363 pbc="T T T"
Be -0.576 1.932 1.129
Ru 0.738 5.562 2.046
Be 0.029 0.080 0.020
Cr 1.229 3.395 0.858